Cs2Rb3Na9 after structural relaxation. Source: Alexandria via LeMat-Bulk, functional PBE.

Values from the calculation:
* energy of formation from the pure elements: 0.6 eV per formula unit
* ρ: 1.478 Mg/m³
* Fermi-level density of states: 7.4 states/eV/f.u.

Cell lengths 20.9896, 12.5698, 12.4209 Å; angles 90.00, 90.00, 90.00 degrees
Last column: nearest neighbours and their distance in Å.
Space group Cmcm (No. 63)
Symmetry-distinct sites (fractional):
Cs (0.1475, 0.1804, 0.2500) [8 per cell]  7 Na 4.48-4.79, 4 Rb 4.91-4.94
Rb (0.0000, 0.0000, 0.0000) [4 per cell]  8 Na 4.08-4.50
Rb (0.2070, 0.5000, 0.0000) [8 per cell]  6 Na 4.10-4.18
Na (0.0000, 0.2103, 0.7500) [4 per cell]  8 Na 3.60-3.80
Na (0.0000, 0.3579, 0.0170) [8 per cell]  6 Na 3.60-4.01
Na (0.0816, 0.4623, 0.7500) [8 per cell]  2 Na 3.43-3.60
Na (0.1511, 0.2071, 0.6096) [16 per cell]  2 Na 3.49-3.62